ZrScAlMo PBE optimized geometry; DFT total energy = -30.2 eV per formula unit; density of states at the Fermi level = 2.839 states/eV per cell; E_form = -196 meV per atom; total moment = 0.0 μB/f.u.
1.0
4.753 0.000 0.000
2.376 4.116 0.000
2.376 1.372 3.881
Sc Zr Al Mo
1 1 1 1
Cartesian
0.000 0.000 0.000 Sc
4.753 2.744 1.940 Zr
2.376 1.372 0.970 Al
7.129 4.116 2.911 Mo

Cu2Ni2Pd PBE optimized geometry; DFT total energy = -23.3 eV per formula unit; density of states at the Fermi level = 4.902 states/eV per cell; E_form = 327 meV per atom; total moment = 1.2 μB/f.u.
1.0
3.386 0.000 0.000
0.000 3.386 0.000
1.693 1.693 5.785
Cu Ni Pd
2 2 1
Cartesian
3.386 1.693 2.893 Cu
1.693 3.386 2.893 Cu
3.386 3.386 4.640 Ni
1.693 1.693 1.145 Ni
0.000 0.000 0.000 Pd

CrAsCl3 PBE optimized geometry; ΔE_f (raw) = 0.12 eV per atom; DFT total energy = -19.2 eV per formula unit; density of states at the Fermi level = 2.234 states/eV per cell; total moment = 5.2 μB/f.u.
1.0
5.090 0.000 0.000
0.000 5.090 0.000
0.000 0.000 5.090
Cl Cr As
3 1 1
Cartesian
2.545 0.000 0.000 Cl
0.000 2.545 0.000 Cl
0.000 0.000 2.545 Cl
2.545 2.545 2.545 Cr
0.000 0.000 0.000 As

TaAgIrSe PBE optimized geometry; ΔE_f (raw) = 0.05 eV per atom; DFT total energy = -26.8 eV per formula unit; density of states at the Fermi level = 4.121 states/eV per cell; total moment = 0.0 μB/f.u.
1.0
4.362 0.000 0.000
0.000 3.065 0.000
0.000 0.000 10.314
Se Ir Ta Ag
2 2 2 2
Cartesian
0.000 1.533 2.998 Se
0.000 0.000 8.154 Se
2.181 1.533 1.656 Ir
2.181 0.000 6.813 Ir
0.000 0.000 0.734 Ta
0.000 1.533 5.890 Ta
2.181 1.533 9.329 Ag
2.181 0.000 4.172 Ag

- Which value of total moment does entry 1 give?
  0.0 μB/f.u.